(1)
Density functional theory data (PBE) for an optimized crystal structure of LuRuRhPb.

Output
Total magnetization, μB per formula unit: 0.0
Calculated formation energy, eV per atom: -0.42
SG: F-43m

Unit cell a=4.688 b=4.688 c=4.688 alpha=60.00 beta=60.00 gamma=60.00
Sites, in units of the cell vectors:
Pb (0.500, 0.500, 0.500)
Ru (0.750, 0.750, 0.750)
Lu (0.000, 0.000, 0.000)
Rh (0.250, 0.250, 0.250)

(2)
Density functional theory data (PBE) for an optimized crystal structure of TbLuRhPb.

Output
Total magnetization, μB per formula unit: 0.0
Calculated formation energy, eV per atom: -0.52
SG: F-43m

Unit cell a=5.110 b=5.110 c=5.110 alpha=60.00 beta=60.00 gamma=60.00
Sites, in units of the cell vectors:
Pb (0.500, 0.500, 0.500)
Rh (0.000, 0.000, 0.000)
Lu (0.750, 0.750, 0.750)
Tb (0.250, 0.250, 0.250)

(3)
Density functional theory data (PBE) for an optimized crystal structure of TmLuRhPb.

Output
Total magnetization, μB per formula unit: 0.0
Calculated formation energy, eV per atom: -0.53
SG: F-43m

Unit cell a=5.064 b=5.064 c=5.064 alpha=60.00 beta=60.00 gamma=60.00
Sites, in units of the cell vectors:
Pb (0.000, 0.000, 0.000)
Rh (0.500, 0.500, 0.500)
Lu (0.250, 0.250, 0.250)
Tm (0.750, 0.750, 0.750)

(4)
Density functional theory data (PBE) for an optimized crystal structure of LuRu2Pb.

Output
Total magnetization, μB per formula unit: 0.0
Calculated formation energy, eV per atom: -0.16
SG: P4/mmm

Unit cell a=3.401 b=4.618 c=4.618 alpha=90.00 beta=90.00 gamma=90.00
Sites, in units of the cell vectors:
Pb (0.500, 0.000, 0.000)
Ru (0.000, 0.000, 0.500)
Ru (0.000, 0.500, 0.000)
Lu (0.500, 0.500, 0.500)